# 1
FeTcNi2H | PBE | optimized geometry

a = 3.6098 Å, b = 3.6098 Å, c = 3.8837 Å
α = 90.00°, β = 90.00°, γ = 90.00°
Closest atoms and distances in Å follow each position.
Space group P4/mmm (No. 123)
Unique sites:
1 Fe 0.0000 0.0000 0.0000 x1  4 Tc 2.55, 8 Ni 2.65
2 Tc 0.5000 0.5000 0.0000 x1  2 H 1.94
3 Ni 0.0000 0.5000 0.5000 x2  2 H 1.80
4 H 0.5000 0.5000 0.5000 x1  4 Ni 1.80, 2 Tc 1.94

## Properties
Final energy, eV per atom: -6.651

# 2
BeCr2SnC | PBE | optimized geometry

a = 4.9212 Å, b = 4.9212 Å, c = 4.0587 Å
α = 90.00°, β = 90.00°, γ = 90.00°
Closest atoms and distances in Å follow each position.
Space group P4/mmm (No. 123)
Unique sites:
1 Be 0.0000 0.0000 0.0000 x1  8 Cr 3.19, 4 C 3.48
2 Cr 0.0000 0.5000 0.5000 x2  2 Sn 2.46
3 Sn 0.5000 0.5000 0.5000 x1  2 C 2.03
4 C 0.5000 0.5000 0.0000 x1  2 Sn 2.03

## Properties
Energy of formation from the pure elements, eV/atom: 2.81

# 3
Ac3Pd2Rh | PBE | optimized geometry

a = 8.7773 Å, b = 6.1752 Å, c = 13.0296 Å
α = 90.00°, β = 90.00°, γ = 90.00°
Closest atoms and distances in Å follow each position.
Space group Pnma (No. 62)
Unique sites:
1 Ac 0.1161 0.2500 0.0806 x4  3 Rh 3.04-3.09, 3 Pd 3.10-3.12
2 Ac 0.1257 0.2500 0.7485 x4  2 Rh 3.03-3.07, 4 Pd 3.09-3.12
3 Ac 0.1377 0.2500 0.4220 x4  1 Rh 3.00, 5 Pd 3.09-3.14
4 Pd 0.1232 0.7500 0.7431 x4  6 Ac 3.09-3.14
5 Pd 0.1246 0.7500 0.4186 x4  6 Ac 3.09-3.12
6 Rh 0.1247 0.7500 0.0874 x4  6 Ac 3.00-3.09

## Properties
Energy of formation from the pure elements, eV/atom: -0.74

# 4
Li3AsPb | PBE | optimized geometry

a = 4.8096 Å, b = 4.8096 Å, c = 4.8096 Å
α = 90.00°, β = 90.00°, γ = 90.00°
Closest atoms and distances in Å follow each position.
Space group Pm-3m (No. 221)
Unique sites:
1 Li 0.0000 0.0000 0.5000 x3  2 As 2.40
2 As 0.0000 0.0000 0.0000 x1  6 Li 2.40
3 Pb 0.5000 0.5000 0.5000 x1  12 Li 3.40

## Properties
Energy of formation from the pure elements, eV/atom: -0.26

# 5
PuZn3Pt2 | PBE | optimized geometry

a = 16.9375 Å, b = 4.0647 Å, c = 9.9669 Å
α = 90.00°, β = 105.31°, γ = 90.00°
Closest atoms and distances in Å follow each position.
Space group C2/m (No. 12)
Unique sites:
1 Pu 0.0000 0.0000 0.0000 x2  6 Pt 3.10-3.29, 6 Zn 3.27-3.38
2 Pu 0.1617 0.0000 0.7173 x4  6 Pt 3.10-3.19, 5 Zn 3.19-3.41
3 Zn 0.0000 0.5000 0.5000 x2  2 Pt 2.43
4 Zn 0.0465 0.0000 0.3511 x4  4 Pt 2.61-2.66, 3 Zn 2.72-2.75
5 Zn 0.1259 0.5000 0.2104 x4  4 Pt 2.59-2.69, 3 Zn 2.72-2.89
6 Zn 0.1717 0.5000 0.9681 x4  4 Pt 2.57-2.64, 1 Zn 2.72
7 Zn 0.2124 0.0000 0.3984 x4  4 Pt 2.50-2.60, 1 Zn 2.72
8 Pt 0.0323 0.5000 0.7864 x4  5 Zn 2.57-2.76
9 Pt 0.1389 0.5000 0.4752 x4  7 Zn 2.43-2.66
10 Pt 0.1998 0.0000 0.1343 x4  6 Zn 2.58-2.64

## Properties
Energy of formation from the pure elements, eV/atom: -0.52

# 6
NdHoHf | PBE | optimized geometry

a = 3.3671 Å, b = 3.3671 Å, c = 15.2469 Å
α = 90.00°, β = 90.00°, γ = 90.00°
Closest atoms and distances in Å follow each position.
Space group I4mm (No. 107)
Unique sites:
1 Nd 0.0000 0.0000 0.0000 x2  4 Nd 3.37, 4 Hf 3.42, 4 Ho 3.76
2 Ho 0.0000 0.0000 0.6913 x2  4 Hf 3.27, 4 Ho 3.37
3 Hf 0.0000 0.0000 0.3387 x2  4 Ho 3.27, 4 Hf 3.37, 4 Nd 3.42

## Properties
Energy of formation from the pure elements, eV/atom: 0.14

# 7
CoReAu2 | PBE | optimized geometry

a = 4.8296 Å, b = 4.8296 Å, c = 2.7253 Å
α = 90.00°, β = 90.00°, γ = 90.00°
Closest atoms and distances in Å follow each position.
Space group P4/mmm (No. 123)
Unique sites:
1 Co 0.0000 0.0000 0.0000 x1  2 Co 2.73, 8 Au 2.77
2 Re 0.5000 0.5000 0.0000 x1  2 Re 2.73, 8 Au 2.77
3 Au 0.0000 0.5000 0.5000 x2  2 Au 2.73, 4 Co 2.77, 4 Re 2.77

## Properties
Energy of formation from the pure elements, eV/atom: 0.59

# 8
PtRhW | PBE | optimized geometry

a = 5.9960 Å, b = 5.9960 Å, c = 5.9960 Å
α = 90.00°, β = 90.00°, γ = 90.00°
Closest atoms and distances in Å follow each position.
Space group F-43m (No. 216)
Unique sites:
1 Pt 0.0000 0.0000 0.0000 x4  4 W 2.60
2 Rh 0.0000 0.0000 0.5000 x4  4 W 2.60
3 W 0.2500 0.2500 0.7500 x4  4 Rh 2.60, 4 Pt 2.60

## Properties
Energy of formation from the pure elements, eV/atom: 0.19